--- i ---
CoNi3Pt3 (PBE, optimized geometry); symmetry = C2/m, No. 12; DOS(E_F) = 9.8 states/eV/f.u.
1.0
-3.6536 3.0563 0.3544
-3.2512 -4.2753 3.2632
2.1835 1.9554 5.5593
Pt Co Ni
6 2 6
Direct
0.7500 0.0752 0.4289 Pt
0.2500 0.9248 0.5711 Pt
0.2498 0.2431 0.2431 Pt
0.7500 0.4289 0.0752 Pt
0.2500 0.5711 0.9248 Pt
0.7502 0.7569 0.7569 Pt
0.7501 0.0368 0.0368 Co
0.2499 0.9632 0.9632 Co
0.0000 0.7525 0.2475 Ni
0.7500 0.4740 0.4740 Ni
0.0000 0.2475 0.7525 Ni
0.2500 0.5260 0.5260 Ni
0.5000 0.7523 0.2477 Ni
0.5000 0.2477 0.7523 Ni

=====

--- ii ---
CoNi3Pt3 (PBE, optimized geometry); symmetry = R-3, No. 148; DOS(E_F) = 8.5 states/eV/f.u.
1.0
5.7980 0.0001 0.0000
2.8989 5.0212 0.0000
2.8990 1.6738 6.5997
Co Ni Pt
2 6 6
Direct
0.7032 0.7032 0.8904 Co
0.2968 0.2968 0.1096 Co
0.7622 0.0642 0.5816 Ni
0.4080 0.2378 0.4184 Ni
0.5920 0.7622 0.5816 Ni
0.2378 0.9358 0.4184 Ni
0.9358 0.4080 0.4184 Ni
0.0642 0.5920 0.5816 Ni
0.2808 0.1558 0.8257 Pt
0.7377 0.2808 0.8257 Pt
0.8442 0.2623 0.1743 Pt
0.2623 0.7192 0.1743 Pt
0.7192 0.8442 0.1743 Pt
0.1558 0.7377 0.8257 Pt

=====

Which one sits at the bottom of the stability order? ii does.

=====

--- i ---
Co2NiPt3 (PBE, optimized geometry); symmetry = Cmmm, No. 65; DOS(E_F) = 7.4 states/eV/f.u.
1.0
3.8372 0.0000 0.0177
1.9186 5.7421 0.0089
-0.0340 0.0000 7.3744
Pt Co Ni
6 4 2
Direct
0.1666 0.6667 0.7492 Pt
0.5000 0.0000 0.7487 Pt
0.5000 0.0000 0.2513 Pt
0.1667 0.6667 0.2508 Pt
0.8333 0.3333 0.7492 Pt
0.8334 0.3333 0.2508 Pt
0.0000 0.0000 0.5000 Co
0.6656 0.6688 0.5000 Co
0.0000 0.0000 0.0000 Co
0.3344 0.3312 0.5000 Co
0.6646 0.6707 0.0000 Ni
0.3354 0.3293 0.0000 Ni

=====

--- ii ---
Co2NiPt3 (PBE, optimized geometry); symmetry = P-3m1, No. 164; DOS(E_F) = 7.2 states/eV/f.u.
1.0
6.5320 0.0000 0.0000
0.0000 5.3837 0.0000
0.0000 -2.6918 4.6624
Co Ni Pt
4 2 6
Direct
0.0000 0.5000 0.5000 Co
0.0000 0.0000 0.5000 Co
0.0000 0.0000 0.0000 Co
0.0000 0.5000 0.0000 Co
0.3199 0.6667 0.3333 Ni
0.6801 0.3333 0.6667 Ni
0.3196 0.1674 0.3349 Pt
0.6804 0.8326 0.6651 Pt
0.3196 0.1674 0.8326 Pt
0.6804 0.3349 0.1674 Pt
0.3196 0.6651 0.8326 Pt
0.6804 0.8326 0.1674 Pt

=====

Which one sits at the bottom of the stability order? ii does.

=====

--- i ---
UCoNiPt (PBE, optimized geometry); symmetry = Pmmm, No. 47; DOS(E_F) = 5.2 states/eV/f.u.
1.0
-1.8509 0.2110 3.2381
0.4827 -3.8516 0.5269
3.5663 0.7194 1.9916
Co Ni Pt U
1 1 1 1
Direct
0.0000 0.5000 0.5000 Co
0.0000 0.0000 0.0000 Ni
0.5000 0.5000 0.0000 Pt
0.5000 0.0000 0.5000 U

=====

--- ii ---
UCoNiPt (PBE, optimized geometry); symmetry = F-43m, No. 216; DOS(E_F) = 5.4 states/eV/f.u.
1.0
-1.8360 -3.8506 1.1383
2.0038 -3.7942 -1.0404
1.8336 -2.4691 3.1678
Pt Co U Ni
1 1 1 1
Direct
0.7500 0.7500 0.7500 Pt
0.0000 0.0000 0.0000 Co
0.2500 0.2500 0.2500 U
0.5000 0.5000 0.5000 Ni

=====

Which one sits at the bottom of the stability order? ii does.

=====

--- i ---
RbCoNi2 (PBE, optimized geometry); symmetry = Fm-3m, No. 225; DOS(E_F) = 6.4 states/eV/f.u.
1.0
-3.1935 -2.8772 1.4907
-4.1309 1.5575 1.0993
-3.5780 -0.9885 -2.6305
Co Ni Rb
1 2 1
Direct
0.0000 0.0000 0.0000 Co
0.2500 0.2500 0.2500 Ni
0.7500 0.7500 0.7500 Ni
0.5000 0.5000 0.5000 Rb

=====

--- ii ---
RbCoNi2 (PBE, optimized geometry); symmetry = I4_1/amd, No. 141; DOS(E_F) = 5.2 states/eV/f.u.
1.0
4.9970 0.0000 0.0000
0.0000 4.9970 0.0000
2.4985 2.4985 7.6169
Ni Co Rb
4 2 2
Direct
0.8750 0.6248 0.7500 Ni
0.3750 0.6252 0.7500 Ni
0.3748 0.1250 0.2500 Ni
0.3752 0.6250 0.2500 Ni
0.5000 0.5000 0.0000 Co
0.2500 0.7500 0.5000 Co
0.0000 0.0000 0.0000 Rb
0.7500 0.2500 0.5000 Rb

=====

Which one sits at the bottom of the stability order? i does.

=====

--- i ---
Co4Ni3Rh (PBE, optimized geometry); symmetry = C2/m, No. 12; DOS(E_F) = 10.3 states/eV/f.u.
1.0
-2.4748 -0.3827 -0.4669
-0.5364 -1.4817 4.0581
0.0182 9.1225 -0.6234
Ni Co Rh
3 4 1
Direct
0.2490 0.2482 0.4980 Ni
0.7510 0.7518 0.5020 Ni
0.0000 0.5000 0.0000 Ni
0.8718 0.6162 0.7436 Co
0.3728 0.1259 0.7456 Co
0.6272 0.8741 0.2544 Co
0.1282 0.3838 0.2564 Co
0.5000 0.0000 0.0000 Rh

=====

--- ii ---
Co4Ni3Rh (PBE, optimized geometry); symmetry = Pmma, No. 51; DOS(E_F) = 7.7 states/eV/f.u.
1.0
-2.1210 3.7746 0.8241
0.6077 -0.7413 4.9594
7.1462 4.0737 -0.2667
Ni Co Rh
6 8 2
Direct
0.0000 0.0000 0.0000 Ni
0.6756 0.0000 0.7500 Ni
0.6584 0.5000 0.7500 Ni
0.0000 0.0000 0.5000 Ni
0.3244 0.0000 0.2500 Ni
0.3416 0.5000 0.2500 Ni
0.8226 0.2424 0.2500 Co
0.5000 0.2398 0.5000 Co
0.5000 0.7602 0.5000 Co
0.5000 0.7602 0.0000 Co
0.5000 0.2398 0.0000 Co
0.8226 0.7576 0.2500 Co
0.1774 0.7576 0.7500 Co
0.1774 0.2424 0.7500 Co
0.0000 0.5000 0.0000 Rh
0.0000 0.5000 0.5000 Rh

=====

Which one sits at the bottom of the stability order? i does.

=====

--- i ---
CoNi6Rh (PBE, optimized geometry); symmetry = Cmmm, No. 65; DOS(E_F) = 12.1 states/eV/f.u.
1.0
-4.3822 -0.8009 -4.2992
2.0517 -5.5118 1.9334
-7.0856 -0.0977 7.2406
Co Ni Rh
4 24 4
Direct
0.2486 0.7514 0.7500 Co
0.7514 0.2486 0.7500 Co
0.5000 0.5000 0.5021 Co
0.5000 0.5000 0.9979 Co
0.0000 0.0000 0.2500 Ni
0.1316 0.3786 0.1212 Ni
0.1316 0.3786 0.3788 Ni
0.5000 0.5000 0.7500 Ni
0.8721 0.6191 0.6283 Ni
0.3809 0.1279 0.6283 Ni
0.6214 0.8684 0.3788 Ni
0.7474 0.2526 0.9949 Ni
0.5000 0.5000 0.2500 Ni
0.3786 0.1316 0.1212 Ni
0.3809 0.1279 0.8717 Ni
0.0000 0.0000 0.7500 Ni
0.8684 0.6214 0.1212 Ni
0.1279 0.3809 0.8717 Ni
0.1279 0.3809 0.6283 Ni
0.6214 0.8684 0.1212 Ni
0.6191 0.8721 0.6283 Ni
0.6191 0.8721 0.8717 Ni
0.8721 0.6191 0.8717 Ni
0.2526 0.7474 0.5051 Ni
0.8684 0.6214 0.3788 Ni
0.2526 0.7474 0.9949 Ni
0.7474 0.2526 0.5051 Ni
0.3786 0.1316 0.3788 Ni
0.0000 0.0000 0.5018 Rh
0.7516 0.2484 0.2500 Rh
0.0000 0.0000 0.9982 Rh
0.2484 0.7516 0.2500 Rh

=====

--- ii ---
CoNi6Rh (PBE, optimized geometry); symmetry = C2/m, No. 12; DOS(E_F) = 12.1 states/eV/f.u.
1.0
4.2430 0.6764 0.0020
0.9933 4.1802 0.0020
1.4979 1.3893 6.0593
Ni Co Rh
6 1 1
Direct
0.3632 0.3632 0.9310 Ni
0.5443 0.0602 0.2964 Ni
0.9398 0.4557 0.7036 Ni
0.0602 0.5443 0.2964 Ni
0.6368 0.6368 0.0690 Ni
0.4557 0.9398 0.7036 Ni
0.0000 0.0000 0.0000 Co
0.5000 0.5000 0.5000 Rh

=====

Which one sits at the bottom of the stability order? ii does.

=====

--- i ---
Co2NiRh2 (PBE, optimized geometry); symmetry = Pmmm, No. 47; DOS(E_F) = 6.9 states/eV/f.u.
1.0
-2.1093 1.6457 0.1305
-1.6374 -1.8754 -2.8136
-6.7014 -4.3772 1.7948
Rh Co Ni
2 2 1
Direct
0.6915 0.6914 0.8087 Rh
0.3085 0.3086 0.1913 Rh
0.5000 0.0000 0.5000 Co
0.0000 0.5000 0.5000 Co
0.0000 0.0000 0.0000 Ni

=====

--- ii ---
Co2NiRh2 (PBE, optimized geometry); symmetry = P4/mbm, No. 127; DOS(E_F) = 6.3 states/eV/f.u.
1.0
-2.8630 6.1590 -1.7068
-5.9793 -1.9207 3.0987
0.8689 1.0487 2.3268
Co Ni Rh
4 2 4
Direct
0.3782 0.8782 0.0000 Co
0.8782 0.6218 0.0000 Co
0.6218 0.1218 0.0000 Co
0.1218 0.3782 0.0000 Co
0.0000 0.0000 0.0000 Ni
0.5000 0.5000 0.0000 Ni
0.6747 0.8253 0.5000 Rh
0.1747 0.6747 0.5000 Rh
0.3253 0.1747 0.5000 Rh
0.8253 0.3253 0.5000 Rh

=====

Which one sits at the bottom of the stability order? i does.

=====

--- i ---
Co2NiRh2 (PBE, optimized geometry); symmetry = P4/mbm, No. 127; DOS(E_F) = 6.5 states/eV/f.u.
1.0
-6.8591 -1.3401 1.2008
0.7150 -6.3724 -3.0275
0.6230 -1.0592 2.3765
Co Ni Rh
4 2 4
Direct
0.6656 0.8344 0.5000 Co
0.3344 0.1656 0.5000 Co
0.8344 0.3344 0.5000 Co
0.1656 0.6656 0.5000 Co
0.0000 0.0000 0.0000 Ni
0.5000 0.5000 0.0000 Ni
0.1330 0.3670 0.0000 Rh
0.8670 0.6330 0.0000 Rh
0.6330 0.1330 0.0000 Rh
0.3670 0.8670 0.0000 Rh

=====

--- ii ---
Co2NiRh2 (PBE, optimized geometry); symmetry = P2_1/c, No. 14; DOS(E_F) = 7.5 states/eV/f.u.
1.0
-4.1988 0.5260 1.6269
-1.3119 -4.6499 -1.8826
4.2628 -4.6809 8.5907
Rh Co Ni
8 8 4
Direct
0.8816 0.8757 0.9000 Rh
0.3615 0.8754 0.3045 Rh
0.6385 0.1246 0.6955 Rh
0.3816 0.6243 0.9000 Rh
0.1385 0.3754 0.6955 Rh
0.6184 0.3757 0.1000 Rh
0.8615 0.6246 0.3045 Rh
0.1184 0.1243 0.1000 Rh
0.7533 0.8747 0.5014 Co
0.6160 0.8733 0.0984 Co
0.8840 0.3733 0.9016 Co
0.1160 0.6267 0.0984 Co
0.2533 0.6253 0.5014 Co
0.2467 0.1253 0.4986 Co
0.3840 0.1267 0.9016 Co
0.7467 0.3747 0.4986 Co
0.1437 0.8729 0.6929 Ni
0.8563 0.1271 0.3071 Ni
0.6437 0.6271 0.6929 Ni
0.3563 0.3729 0.3071 Ni

=====

Which one sits at the bottom of the stability order? i does.

=====

--- i ---
Co2Ni8Rh (PBE, optimized geometry); symmetry = C2/m, No. 12; DOS(E_F) = 14.2 states/eV/f.u.
1.0
-3.0684 -0.4359 -1.7187
2.5118 -3.5280 -3.5895
-0.6143 -3.5100 5.6408
Co Rh Ni
2 1 8
Direct
0.2269 0.6320 0.4538 Co
0.7731 0.3680 0.5462 Co
0.5000 0.0000 0.0000 Rh
0.3156 0.0893 0.6312 Ni
0.6844 0.9107 0.3688 Ni
0.8604 0.8109 0.7208 Ni
0.0485 0.7216 0.0971 Ni
0.4068 0.5430 0.8136 Ni
0.9515 0.2784 0.9029 Ni
0.5932 0.4570 0.1864 Ni
0.1396 0.1891 0.2792 Ni

=====

--- ii ---
Co2Ni8Rh (PBE, optimized geometry); symmetry = Immm, No. 71; DOS(E_F) = 15.8 states/eV/f.u.
1.0
0.5940 0.6754 -4.1930
5.2942 -0.6153 -3.7317
1.1478 -6.1816 -3.0244
Co Ni Rh
2 8 1
Direct
0.0000 0.3161 0.3678 Co
0.0000 0.6839 0.6322 Co
0.5000 0.7997 0.4006 Ni
0.7539 0.4999 0.0000 Ni
0.5000 0.2003 0.5994 Ni
0.7618 0.1021 0.2719 Ni
0.2382 0.8979 0.7281 Ni
0.2461 0.5001 0.0000 Ni
0.7618 0.3740 0.7281 Ni
0.2382 0.6260 0.2719 Ni
0.5000 0.0000 0.0000 Rh

=====

Which one sits at the bottom of the stability order? ii does.

=====

--- i ---
CoNiRh (PBE, optimized geometry); symmetry = P2_1/m, No. 11; DOS(E_F) = 4.2 states/eV/f.u.
1.0
-0.9645 2.2618 -0.9325
-0.7314 2.1802 6.0449
3.3915 3.4793 4.9316
Rh Co Ni
2 2 2
Direct
0.7350 0.2511 0.1816 Rh
0.2351 0.8511 0.2287 Rh
0.2351 0.2895 0.4714 Co
0.7350 0.8127 0.9389 Co
0.7351 0.3575 0.7285 Ni
0.2350 0.7447 0.6818 Ni

=====

--- ii ---
CoNiRh (PBE, optimized geometry); symmetry = P3m1, No. 156; DOS(E_F) = 4.2 states/eV/f.u.
1.0
2.6162 0.0000 0.0000
-1.3081 2.2657 0.0000
0.0000 0.0000 6.2509
Ni Co Rh
1 1 1
Direct
0.6667 0.3333 0.3227 Ni
0.0000 0.0000 0.0076 Co
0.3333 0.6667 0.6697 Rh

=====

--- iii ---
CoNiRh (PBE, optimized geometry); symmetry = P-6m2, No. 187; DOS(E_F) = 3.3 states/eV/f.u.
1.0
-2.0518 0.1630 3.5155
0.7119 -3.5954 -1.7780
2.2155 -0.2055 1.3026
Ni Rh Co
1 1 1
Direct
0.3333 0.6667 0.1660 Ni
0.6667 0.3333 0.6665 Rh
0.0000 0.0000 0.1675 Co

=====

--- iv ---
CoNiRh (PBE, optimized geometry); symmetry = F-43m, No. 216; DOS(E_F) = 2.3 states/eV/f.u.
1.0
3.9288 0.0000 0.0000
1.9644 3.4025 0.0000
1.9644 1.1342 3.2079
Co Ni Rh
1 1 1
Direct
0.7500 0.7500 0.7500 Co
0.0000 0.0000 0.0000 Ni
0.5000 0.5000 0.5000 Rh

=====

Which one sits at the bottom of the stability order? iv does.